Entry 1:
{"formula": "CoBiTe2I", "functional": "PBE-GGA", "state": "relaxed", "total_magnetization_mub_per_cell": 0.6, "raw_formation_energy_ev_per_atom": 0.27, "total_energy_ev_per_atom": -3.4897, "relative_energy_kcal_per_mol_atoms": 0.00, "cell": [[5.085, 0.000, 0.000], [0.000, 5.085, 0.000], [0.000, 0.000, 5.258]], "species": ["I", "Te", "Te", "Co", "Bi"], "fractional_positions": [[0.000, 0.000, 0.500], [0.000, 0.500, 0.000], [0.500, 0.000, 0.000], [0.000, 0.000, 0.000], [0.500, 0.500, 0.500]]}

***

Entry 2:
{"formula": "B5C7", "functional": "PBE-GGA", "state": "relaxed", "delta_e_f_ev_per_atom": 0.397, "total_magnetization_mub_per_cell": 0.0, "total_energy_ev_per_atom": -7.7663, "relative_energy_kcal_per_mol_atoms": 3.20, "cell": [[3.982, 0.050, -5.542], [-0.579, 2.578, -6.907], [0.414, -0.112, 7.383]], "species": ["B", "B", "B", "B", "B", "C", "C", "C", "C", "C", "C", "C"], "fractional_positions": [[0.611, 0.286, 0.325], [0.474, 0.141, 0.333], [0.016, 0.003, 0.013], [0.478, 0.845, 0.633], [0.997, 0.674, 0.323], [0.000, 0.333, 0.667], [0.155, 0.141, 0.014], [0.634, 0.966, 0.668], [0.101, 0.796, 0.305], [0.627, 0.615, 0.013], [0.512, 0.498, 0.013], [0.145, 0.452, 0.693]]}

***

Entry 3:
{"formula": "IrSe2Cl", "functional": "PBE-GGA", "state": "relaxed", "total_magnetization_mub_per_cell": 0.0, "raw_formation_energy_ev_per_atom": 0.88, "total_energy_ev_per_atom": -3.5363, "relative_energy_kcal_per_mol_atoms": 26.30, "cell": [[-3.020, 1.348, -3.364], [-1.250, -4.396, -1.165], [-0.225, 1.623, 4.423]], "species": ["Cl", "Ir", "Se", "Se"], "fractional_positions": [[0.500, 0.500, 0.000], [0.750, 0.250, 0.500], [0.000, 0.000, 0.000], [0.250, 0.750, 0.500]]}

***

Entry 4:
{"formula": "NaVNiTe3", "functional": "PBE-GGA", "state": "relaxed", "total_magnetization_mub_per_cell": 0.0, "raw_formation_energy_ev_per_atom": -0.44, "total_energy_ev_per_atom": -4.7127, "cell": [[3.680, 0.000, 0.000], [0.000, 8.519, -0.044], [0.000, -4.154, 9.288]], "species": ["Na", "Na", "V", "V", "Ni", "Ni", "Te", "Te", "Te", "Te", "Te", "Te"], "fractional_positions": [[0.250, 0.283, 0.289], [0.750, 0.717, 0.711], [0.250, 0.715, 0.183], [0.750, 0.285, 0.817], [0.250, 0.081, 0.602], [0.750, 0.919, 0.398], [0.750, 0.927, 0.154], [0.250, 0.073, 0.846], [0.250, 0.750, 0.451], [0.750, 0.250, 0.549], [0.750, 0.446, 0.118], [0.250, 0.554, 0.882]]}

***

Entry 5:
{"formula": "CeNd2DySb4", "functional": "PBE-GGA", "state": "relaxed", "total_magnetization_mub_per_cell": 0.7, "raw_formation_energy_ev_per_atom": -1.14, "total_energy_ev_per_atom": -5.7080, "cell": [[-2.786, 1.314, -3.254], [3.565, -4.765, -4.977], [-5.830, -3.786, 3.463]], "species": ["Ce", "Nd", "Nd", "Dy", "Sb", "Sb", "Sb", "Sb"], "fractional_positions": [[0.500, 0.500, 0.000], [0.500, 0.000, 0.500], [0.000, 0.500, 0.500], [0.000, 0.000, 0.000], [0.500, 0.246, 0.242], [0.500, 0.754, 0.758], [0.000, 0.249, 0.755], [0.000, 0.751, 0.245]]}

***

Entry 6:
{"formula": "Sb2OsPbI", "functional": "PBE-GGA", "state": "relaxed", "total_magnetization_mub_per_cell": 0.0, "raw_formation_energy_ev_per_atom": 0.54, "total_energy_ev_per_atom": -4.4036, "relative_energy_kcal_per_mol_atoms": 0.00, "cell": [[-1.664, -4.655, 1.226], [4.099, -2.050, -2.221], [2.912, 0.301, 5.097]], "species": ["Pb", "I", "Os", "Sb", "Sb"], "fractional_positions": [[0.500, 0.500, 0.500], [0.000, 0.000, 0.500], [0.000, 0.000, 0.000], [0.000, 0.500, 0.000], [0.500, 0.000, 0.000]]}

***

Entry 7:
{"formula": "SnHgBiTe3", "functional": "PBE-GGA", "state": "relaxed", "total_magnetization_mub_per_cell": 0.0, "raw_formation_energy_ev_per_atom": -0.15, "total_energy_ev_per_atom": -3.0873, "cell": [[-0.219, -2.299, -3.612], [9.269, -2.919, 1.294], [-4.147, -8.078, 5.393]], "species": ["Sn", "Sn", "Hg", "Hg", "Bi", "Bi", "Te", "Te", "Te", "Te", "Te", "Te"], "fractional_positions": [[0.250, 0.989, 0.682], [0.750, 0.011, 0.318], [0.750, 0.774, 0.744], [0.250, 0.226, 0.256], [0.250, 0.666, 0.107], [0.750, 0.334, 0.893], [0.250, 0.823, 0.397], [0.750, 0.876, 0.049], [0.750, 0.435, 0.179], [0.750, 0.177, 0.603], [0.250, 0.565, 0.821], [0.250, 0.124, 0.951]]}

***

Entry 8:
{"formula": "Cs2TbBiS4", "functional": "PBE-GGA", "state": "relaxed", "total_magnetization_mub_per_cell": 0.0, "raw_formation_energy_ev_per_atom": -1.11, "total_energy_ev_per_atom": -4.4552, "cell": [[7.054, 0.000, 0.000], [3.527, 7.699, 0.000], [3.527, 0.000, 12.424]], "species": ["Cs", "Cs", "Cs", "Cs", "Tb", "Tb", "Bi", "Bi", "S", "S", "S", "S", "S", "S", "S", "S"], "fractional_positions": [[0.182, 0.000, 0.636], [0.818, 0.000, 0.364], [0.568, 0.500, 0.864], [0.932, 0.500, 0.136], [0.750, 0.500, 0.500], [0.000, 0.000, 0.000], [0.250, 0.500, 0.500], [0.500, 0.000, 0.000], [0.280, 0.806, 0.106], [0.193, 0.194, 0.894], [0.913, 0.806, 0.894], [0.614, 0.194, 0.106], [0.470, 0.694, 0.394], [0.557, 0.306, 0.606], [0.837, 0.694, 0.606], [0.136, 0.306, 0.394]]}

***

Entry 9:
{"formula": "LiCuTe2S4", "functional": "PBE-GGA", "state": "relaxed", "total_magnetization_mub_per_cell": 0.0, "raw_formation_energy_ev_per_atom": -0.18, "total_energy_ev_per_atom": -3.7766, "cell": [[-6.011, 1.776, -1.833], [-1.554, -0.159, 6.341], [4.016, 3.845, -1.279]], "species": ["Li", "Cu", "Te", "Te", "S", "S", "S", "S"], "fractional_positions": [[0.014, 0.014, 0.116], [0.489, 0.489, 0.974], [0.775, 0.286, 0.554], [0.286, 0.775, 0.554], [0.659, 0.659, 0.780], [0.333, 0.783, 0.164], [0.783, 0.333, 0.164], [0.162, 0.162, 0.693]]}

***

Entry 10:
{"formula": "Ce2SO2", "functional": "PBE-GGA", "state": "relaxed", "total_magnetization_mub_per_cell": 2.0, "raw_formation_energy_ev_per_atom": -3.05, "total_energy_ev_per_atom": -8.2291, "cell": [[-0.302, -0.240, -3.934], [3.563, 0.186, 1.700], [0.163, -6.781, 0.401]], "species": ["Ce", "Ce", "S", "O", "O"], "fractional_positions": [[0.667, 0.333, 0.720], [0.333, 0.667, 0.280], [0.000, 0.000, 0.000], [0.333, 0.667, 0.629], [0.667, 0.333, 0.371]]}

***

Entry 11:
{"formula": "ZrSc2Tc", "functional": "PBE-GGA", "state": "relaxed", "delta_e_f_ev_per_atom": -0.171, "total_magnetization_mub_per_cell": 0.0, "total_energy_ev_per_atom": -8.0653, "relative_energy_kcal_per_mol_atoms": 0.06, "cell": [[-2.520, 4.579, 2.622], [-0.155, 0.306, 5.837], [3.358, -0.399, -4.770]], "species": ["Sc", "Sc", "Tc", "Zr"], "fractional_positions": [[0.961, 0.961, 0.000], [0.539, 0.539, 0.000], [0.750, 0.250, 0.500], [0.250, 0.750, 0.500]]}

***

Entry 12:
{"formula": "Ti3B4Mo", "functional": "PBE-GGA", "state": "relaxed", "delta_e_f_ev_per_atom": -0.834, "total_magnetization_mub_per_cell": 0.0, "total_energy_ev_per_atom": -8.4875, "relative_energy_kcal_per_mol_atoms": 0.00, "cell": [[3.054, 0.000, 0.000], [0.000, 4.557, -0.001], [0.000, -0.041, 6.040]], "species": ["Ti", "Ti", "Ti", "B", "B", "B", "B", "Mo"], "fractional_positions": [[0.500, 0.125, 0.175], [0.000, 0.621, 0.327], [0.000, 0.881, 0.822], [0.500, 0.899, 0.529], [0.500, 0.601, 0.029], [0.000, 0.098, 0.470], [0.000, 0.398, 0.969], [0.500, 0.377, 0.678]]}

***

Entry 13:
{"formula": "GdYCoRh", "functional": "PBE-GGA", "state": "relaxed", "delta_e_f_ev_per_atom": -0.452, "total_magnetization_mub_per_cell": 6.4, "total_energy_ev_per_atom": -9.2030, "cell": [[4.829, 0.000, 0.000], [2.415, 4.182, 0.000], [2.415, 1.394, 3.943]], "species": ["Y", "Co", "Gd", "Rh"], "fractional_positions": [[0.250, 0.250, 0.250], [0.500, 0.500, 0.500], [0.750, 0.750, 0.750], [0.000, 0.000, 0.000]]}

***

Entry 14:
{"formula": "MgMnOs2", "functional": "PBE-GGA", "state": "relaxed", "delta_e_f_ev_per_atom": 0.176, "total_magnetization_mub_per_cell": 1.7, "total_energy_ev_per_atom": -8.1301, "cell": [[-0.321, 2.285, -1.890], [1.540, -1.496, -2.071], [-5.441, -2.574, -2.187]], "species": ["Mg", "Mn", "Os", "Os"], "fractional_positions": [[0.500, 0.500, 0.250], [0.500, 0.500, 0.750], [0.000, 0.000, 0.972], [0.000, 0.000, 0.528]]}

***

Entry 15:
{"formula": "Pr2BiSb", "functional": "PBE-GGA", "state": "relaxed", "total_magnetization_mub_per_cell": 0.0, "raw_formation_energy_ev_per_atom": -0.81, "total_energy_ev_per_atom": -5.2008, "relative_energy_kcal_per_mol_atoms": 6.15, "cell": [[-2.023, 1.674, 2.869], [0.367, -3.226, 2.141], [7.007, 2.937, 3.226]], "species": ["Pr", "Pr", "Sb", "Bi"], "fractional_positions": [[0.000, 0.000, 0.768], [0.000, 0.000, 0.232], [0.500, 0.500, 0.000], [0.500, 0.500, 0.500]]}

***

Entry 16:
{"formula": "MgAlZn2", "functional": "PBE-GGA", "state": "relaxed", "delta_e_f_ev_per_atom": 0.011, "total_magnetization_mub_per_cell": 0.0, "total_energy_ev_per_atom": -1.9602, "cell": [[4.949, 0.013, -0.020], [-1.553, 4.699, -0.020], [0.011, 0.016, 2.925]], "species": ["Al", "Mg", "Zn", "Zn"], "fractional_positions": [[0.500, 0.000, 0.500], [0.000, 0.500, 0.500], [0.000, 0.000, 0.000], [0.500, 0.500, 0.000]]}

***

Entry 17:
{"formula": "TbCeNd2Y5", "functional": "PBE-GGA", "state": "relaxed", "delta_e_f_ev_per_atom": 0.258, "total_magnetization_mub_per_cell": 2.0, "total_energy_ev_per_atom": -5.5666, "cell": [[8.646, 0.000, 0.000], [0.000, 8.646, 0.000], [-4.323, -4.323, 7.865]], "species": ["Tb", "Tb", "Ce", "Ce", "Nd", "Nd", "Nd", "Nd", "Y", "Y", "Y", "Y", "Y", "Y", "Y", "Y", "Y", "Y"], "fractional_positions": [[0.250, 0.250, 0.500], [0.750, 0.750, 0.500], [0.250, 0.750, 0.500], [0.750, 0.250, 0.500], [0.120, 0.380, 0.000], [0.620, 0.120, 0.000], [0.380, 0.880, 0.000], [0.880, 0.620, 0.000], [0.937, 0.437, 0.281], [0.656, 0.156, 0.719], [0.063, 0.563, 0.719], [0.156, 0.063, 0.719], [0.563, 0.656, 0.719], [0.844, 0.937, 0.281], [0.437, 0.344, 0.281], [0.344, 0.844, 0.281], [0.500, 0.500, 0.000], [0.000, 0.000, 0.000]]}

***

Entry 18:
{"formula": "Be2AlRh", "functional": "PBE-GGA", "state": "relaxed", "delta_e_f_ev_per_atom": -0.225, "total_magnetization_mub_per_cell": 0.0, "total_energy_ev_per_atom": -4.8618, "cell": [[4.376, 0.000, 0.000], [-2.100, 4.249, -0.002], [0.176, 0.847, 2.544]], "species": ["Be", "Be", "Rh", "Al"], "fractional_positions": [[0.000, 0.000, 0.000], [0.500, 0.000, 0.500], [0.000, 0.500, 0.500], [0.500, 0.500, 0.000]]}

***

Entry 19:
{"formula": "BaSi", "functional": "PBE-GGA", "state": "relaxed", "total_magnetization_mub_per_cell": 0.0, "raw_formation_energy_ev_per_atom": -0.13, "total_energy_ev_per_atom": -3.8006, "cell": [[11.500, 0.000, 0.000], [0.000, 11.500, 0.000], [0.000, 0.000, 4.030]], "species": ["Ba", "Ba", "Ba", "Ba", "Ba", "Ba", "Ba", "Ba", "Si", "Si", "Si", "Si", "Si", "Si", "Si", "Si"], "fractional_positions": [[0.716, 0.432, 0.500], [0.284, 0.568, 0.500], [0.568, 0.716, 0.500], [0.432, 0.284, 0.500], [0.104, 0.792, 0.000], [0.896, 0.208, 0.000], [0.208, 0.104, 0.000], [0.792, 0.896, 0.000], [0.884, 0.674, 0.500], [0.116, 0.326, 0.500], [0.326, 0.884, 0.500], [0.674, 0.116, 0.500], [0.908, 0.554, 0.000], [0.092, 0.446, 0.000], [0.446, 0.908, 0.000], [0.554, 0.092, 0.000]]}

***

Entry 20:
{"formula": "Ac5BiSb4", "functional": "PBE-GGA", "state": "relaxed", "total_magnetization_mub_per_cell": 0.0, "raw_formation_energy_ev_per_atom": -1.18, "total_energy_ev_per_atom": -5.2667, "cell": [[4.731, 0.000, -0.913], [-0.351, 6.552, -1.819], [0.004, -0.001, 12.741]], "species": ["Ac", "Ac", "Ac", "Ac", "Ac", "Bi", "Sb", "Sb", "Sb", "Sb"], "fractional_positions": [[0.602, 0.102, 0.204], [0.800, 0.300, 0.601], [0.200, 0.700, 0.399], [0.000, 0.500, 0.000], [0.398, 0.898, 0.796], [0.000, 0.000, 0.000], [0.400, 0.400, 0.800], [0.799, 0.799, 0.598], [0.201, 0.201, 0.402], [0.600, 0.600, 0.200]]}